Below is a geometry-optimized LiHgRu2 structure, with properties calculated at the PBE level.

POSCAR file:
```
LiHgRu2
1.0
-1.717 1.717 -3.760
1.152 -2.958 -1.877
-3.205 -1.688 0.693
Ru Li Hg
2 1 1
direct
0.000 0.000 0.000
0.000 0.500 0.500
0.500 0.000 0.500
0.500 0.500 0.000
```

Summary:
SG ... P4/mmm, No. 123
Formation energy from the elements ... 0.353 eV per atom
N(E_F) ... 4.22 states/eV/f.u.
Calculated density ... 11.2 g/cm³